Here is a relaxed K3Dy2ScTe6 crystal from Alexandria via LeMat-Bulk. Energies are from PBE.

Cell: 7.682 7.682 8.615 Å, 98.56 98.56 120.01°
Fractional coordinates of all 12 atoms:
Sc 0.000 0.000 0.000
Dy 0.334 0.666 0.000
Te 0.747 0.747 0.206
Te 0.253 0.253 0.794
Te 0.390 0.068 0.204
K 0.830 0.170 0.500
Te 0.068 0.390 0.204
Te 0.610 0.932 0.796
K 0.500 0.500 0.500
Dy 0.666 0.334 0.000
K 0.170 0.830 0.500
Te 0.932 0.610 0.796

**Energy relative to the elements, uncorrected**: -1345 meV/atom